No. 1
Density functional theory data (PBE) for a relaxed Ca3I4Cl2 crystal.

Unit cell a=4.2331 b=4.2331 c=23.8977 alpha=90.00 beta=90.00 gamma=120.00
With the nearest neighbours (Å) after each atom.
Fractional positions:
Ca: 0.0000 0.0000 0.9778  6 Cl 2.90
Ca: 0.0000 0.0000 0.3181  6 I 3.15
Ca: 0.6667 0.3333 0.6632  6 I 3.15
I: 0.0000 0.0000 0.5803  3 Ca 3.15
I: 0.6667 0.3333 0.4011  3 Ca 3.15
I: 0.6667 0.3333 0.2351  3 Ca 3.15
I: 0.0000 0.0000 0.7461  3 Ca 3.15
Cl: 0.6667 0.3333 0.0435  3 Ca 2.90, 1 Cl 3.14
Cl: 0.6667 0.3333 0.9121  3 Ca 2.90, 1 Cl 3.14

Output
- Energy relative to the elements, uncorrected: -1.728 eV per atom
- Total magnetic moment: 0.0 μB per formula unit

---

No. 2
Density functional theory data (PBE) for a relaxed CaICl2 crystal.

Unit cell a=8.2222 b=8.2222 c=7.8187 alpha=58.28 beta=58.28 gamma=90.00
With the nearest neighbours (Å) after each atom.
Fractional positions:
I: 0.0000 0.0000 0.0000  4 Cl 3.97
I: 0.7500 0.2500 0.5000  4 Cl 3.97
Ca: 0.5000 0.5000 0.0000  4 Cl 2.62
Ca: 0.2500 0.7500 0.5000  4 Cl 2.62
Cl: 0.4930 0.1250 0.2500  2 Ca 2.62
Cl: 0.2570 0.6250 0.2500  2 Ca 2.62
Cl: 0.3750 0.5070 0.7500  2 Ca 2.62
Cl: 0.8750 0.7430 0.7500  2 Ca 2.62

Output
- Energy relative to the elements, uncorrected: -1.377 eV per atom
- Total magnetic moment: 1.0 μB per formula unit

---

No. 3
Density functional theory data (PBE) for a relaxed Ca3ICl crystal.

Unit cell a=5.6124 b=5.6124 c=5.6124 alpha=90.00 beta=90.00 gamma=90.00
With the nearest neighbours (Å) after each atom.
Fractional positions:
I: 0.5000 0.5000 0.5000  12 Ca 3.97
Ca: 0.0000 0.5000 0.0000  2 Cl 2.81
Ca: 0.0000 0.0000 0.5000  2 Cl 2.81
Ca: 0.5000 0.0000 0.0000  2 Cl 2.81
Cl: 0.0000 0.0000 0.0000  6 Ca 2.81

Output
- Energy relative to the elements, uncorrected: -0.516 eV per atom
- Total magnetic moment: 2.7 μB per formula unit

---

No. 4
Density functional theory data (PBE) for a relaxed CaICl2 crystal.

Unit cell a=12.4410 b=12.4410 c=12.4410 alpha=18.04 beta=18.04 gamma=18.04
With the nearest neighbours (Å) after each atom.
Fractional positions:
I: 0.0000 0.0000 0.0000  6 I 3.90
Ca: 0.5000 0.5000 0.5000  6 Cl 2.72
Cl: 0.8747 0.8747 0.8747  3 Ca 2.72
Cl: 0.1253 0.1253 0.1253  3 Ca 2.72

Output
- Energy relative to the elements, uncorrected: -1.606 eV per atom
- Total magnetic moment: 0.0 μB per formula unit

---

No. 5
Density functional theory data (PBE) for a relaxed CaICl2 crystal.

Unit cell a=5.3698 b=5.3698 c=5.3698 alpha=60.00 beta=60.00 gamma=60.00
With the nearest neighbours (Å) after each atom.
Fractional positions:
I: 0.5000 0.5000 0.5000  8 Cl 3.29
Ca: 0.0000 0.0000 0.0000  8 Cl 3.29
Cl: 0.2500 0.2500 0.2500  4 Ca 3.29, 4 I 3.29
Cl: 0.7500 0.7500 0.7500  4 Ca 3.29, 4 I 3.29

Output
- Energy relative to the elements, uncorrected: -1.085 eV per atom
- Total magnetic moment: 1.0 μB per formula unit

---

No. 6
Density functional theory data (PBE) for a relaxed CaI3Cl crystal.

Unit cell a=5.8228 b=5.8228 c=5.8228 alpha=90.00 beta=90.00 gamma=90.00
With the nearest neighbours (Å) after each atom.
Fractional positions:
I: 0.0000 0.5000 0.0000  2 Cl 2.91
I: 0.0000 0.0000 0.5000  2 Cl 2.91
I: 0.5000 0.0000 0.0000  2 Cl 2.91
Ca: 0.5000 0.5000 0.5000  12 I 4.12
Cl: 0.0000 0.0000 0.0000  6 I 2.91

Output
- Energy relative to the elements, uncorrected: -0.254 eV per atom
- Total magnetic moment: 0.0 μB per formula unit

---

No. 7
Density functional theory data (PBE) for a relaxed CaIn2I2Cl2 crystal.

Unit cell a=4.5450 b=8.1554 c=8.9016 alpha=57.18 beta=90.00 gamma=73.81
With the nearest neighbours (Å) after each atom.
Fractional positions:
Ca: 0.0000 0.0000 0.0000  2 Cl 2.71
In: 0.8553 0.2902 0.4234  3 Cl 3.05
In: 0.1447 0.7098 0.5766  3 Cl 3.05
I: 0.5472 0.9056 0.8057  2 Ca 3.19
I: 0.4528 0.0944 0.1943  2 Ca 3.19
Cl: 0.8014 0.3969 0.7048  1 Ca 2.71
Cl: 0.1986 0.6031 0.2952  1 Ca 2.71

Output
- Energy relative to the elements, uncorrected: -1.204 eV per atom
- Total magnetic moment: 0.0 μB per formula unit

---

No. 8
Density functional theory data (PBE) for a relaxed CaIrI2Cl crystal.

Unit cell a=5.2267 b=5.9137 c=5.2267 alpha=90.00 beta=90.00 gamma=90.00
With the nearest neighbours (Å) after each atom.
Fractional positions:
I: 0.0000 0.0000 0.5000  2 Ir 2.61
I: 0.5000 0.0000 0.0000  2 Ir 2.61
Ca: 0.0000 0.5000 0.0000  2 Ir 2.96
Ir: 0.0000 0.0000 0.0000  4 I 2.61
Cl: 0.5000 0.5000 0.5000  4 Ca 3.70, 8 I 3.95

Output
- Energy relative to the elements, uncorrected: -0.361 eV per atom
- Total magnetic moment: 0.0 μB per formula unit

---

No. 9
Density functional theory data (PBE) for a relaxed CaIrI2Cl crystal.

Unit cell a=5.4601 b=4.8805 c=5.4601 alpha=90.00 beta=90.00 gamma=90.00
With the nearest neighbours (Å) after each atom.
Fractional positions:
I: 0.0000 0.0000 0.5000  2 Ir 2.73
I: 0.5000 0.0000 0.0000  2 Ir 2.73
Ca: 0.5000 0.5000 0.5000  8 I 3.66, 4 Cl 3.86
Ir: 0.0000 0.0000 0.0000  2 Cl 2.44, 4 I 2.73
Cl: 0.0000 0.5000 0.0000  2 Ir 2.44

Output
- Energy relative to the elements, uncorrected: -0.381 eV per atom
- Total magnetic moment: 0.0 μB per formula unit

---

No. 10
Density functional theory data (PBE) for a relaxed Li2CaICl crystal.

Unit cell a=6.3904 b=5.0720 c=6.3904 alpha=90.00 beta=90.00 gamma=90.00
With the nearest neighbours (Å) after each atom.
Fractional positions:
I: 0.5000 0.5000 0.5000  8 Li 4.08, 4 Cl 4.52
Ca: 0.0000 0.0000 0.0000  2 Cl 2.54
Li: 0.0000 0.0000 0.5000  2 Ca 3.20
Li: 0.5000 0.0000 0.0000  2 Ca 3.20
Cl: 0.0000 0.5000 0.0000  2 Ca 2.54

Output
- Energy relative to the elements, uncorrected: -0.467 eV per atom
- Total magnetic moment: 0.0 μB per formula unit

---

No. 11
Density functional theory data (PBE) for a relaxed CaMgICl2 crystal.

Unit cell a=4.9451 b=6.0371 c=4.9451 alpha=90.00 beta=90.00 gamma=90.00
With the nearest neighbours (Å) after each atom.
Fractional positions:
I: 0.0000 0.5000 0.0000  2 Mg 3.02
Ca: 0.5000 0.5000 0.5000  4 I 3.50, 8 Cl 3.90
Mg: 0.0000 0.0000 0.0000  4 Cl 2.47
Cl: 0.0000 0.0000 0.5000  2 Mg 2.47
Cl: 0.5000 0.0000 0.0000  2 Mg 2.47

Output
- Energy relative to the elements, uncorrected: -1.237 eV per atom
- Total magnetic moment: 0.0 μB per formula unit

---

No. 12
Density functional theory data (PBE) for a relaxed CaMnICl2 crystal.

Unit cell a=5.0867 b=10.1667 c=5.0867 alpha=90.00 beta=90.00 gamma=90.00
With the nearest neighbours (Å) after each atom.
Fractional positions:
I: 0.5000 0.5000 0.5000  4 Mn 3.60
Ca: 0.0000 0.0000 0.0000  4 Cl 2.54
Mn: 0.0000 0.5000 0.0000  4 I 3.60
Cl: 0.0000 0.0000 0.5000  2 Ca 2.54
Cl: 0.5000 0.0000 0.0000  2 Ca 2.54

Output
- Energy relative to the elements, uncorrected: -0.766 eV per atom
- Total magnetic moment: 5.7 μB per formula unit

---

No. 13
Density functional theory data (PBE) for a relaxed CaMn2ICl crystal.

Unit cell a=4.8057 b=6.4296 c=4.8057 alpha=90.00 beta=90.00 gamma=90.00
With the nearest neighbours (Å) after each atom.
Fractional positions:
I: 0.0000 0.0000 0.0000  4 Mn 2.40
Ca: 0.0000 0.5000 0.0000  2 I 3.21, 4 Cl 3.40
Mn: 0.0000 0.0000 0.5000  2 I 2.40
Mn: 0.5000 0.0000 0.0000  2 I 2.40
Cl: 0.5000 0.5000 0.5000  4 Ca 3.40

Output
- Energy relative to the elements, uncorrected: 0.530 eV per atom
- Total magnetic moment: 6.0 μB per formula unit

---

Number 1: energy -3.49 eV per atom. Number 2: energy -3.19 eV per atom. Number 3: energy -2.40 eV per atom. Number 4: energy -3.42 eV per atom. Number 5: energy -2.90 eV per atom. Number 6: energy -1.95 eV per atom. Number 7: energy -3.24 eV per atom. Number 8: energy -3.52 eV per atom. Number 9: energy -3.54 eV per atom. Number 10: energy -2.31 eV per atom. Number 11: energy -3.01 eV per atom. Number 12: energy -4.05 eV per atom. Number 13: energy -4.22 eV per atom.